Entry from the Alexandria database: crystalline UPaTiZn at its relaxed geometry (GGA-PBE).

a = 4.800 Å, b = 4.800 Å, c = 4.800 Å
α = 60.00°, β = 60.00°, γ = 60.00°
Each line ends with the local moment (μB).
Fractional positions:
Zn (0.500, 0.500, 0.500)  -0.03
Ti (0.250, 0.250, 0.250)  0.45
Pa (0.750, 0.750, 0.750)  0.64
U (0.000, 0.000, 0.000)  1.81

Values from the calculation:
Raw total energy ... -29.10 eV for the cell shown
Magnetic moment ... 3.14 μB per cell
Formation enthalpy at 0 K ... 0.2120 eV/atom
Calculated volume ... 78.22 Å³/cell

Entry from the Alexandria database: crystalline BeCuAu3 at its relaxed geometry (GGA-PBE).

a = 3.177 Å, b = 9.729 Å, c = 9.729 Å
α = 90.00°, β = 90.00°, γ = 90.00°
Fractional positions:
Au (0.500, 0.394, 0.606)
Au (0.500, 0.325, 0.976)
Au (0.000, 0.894, 0.894)
Au (0.500, 0.976, 0.325)
Au (0.500, 0.606, 0.394)
Au (0.000, 0.476, 0.175)
Au (0.500, 0.024, 0.675)
Au (0.000, 0.825, 0.524)
Au (0.500, 0.675, 0.024)
Au (0.000, 0.175, 0.476)
Au (0.000, 0.106, 0.106)
Au (0.000, 0.524, 0.825)
Be (0.000, 0.588, 0.588)
Be (0.500, 0.912, 0.088)
Be (0.500, 0.088, 0.912)
Be (0.000, 0.412, 0.412)
Cu (0.500, 0.729, 0.729)
Cu (0.500, 0.271, 0.271)
Cu (0.000, 0.771, 0.229)
Cu (0.000, 0.229, 0.771)

Values from the calculation:
E above lowest polymorph ... 0.0 kJ/mol of atoms
Raw total energy ... -71.93 eV for the cell shown
Magnetic moment ... 0.00 μB per cell
Formation enthalpy at 0 K ... -0.0658 eV/atom
Calculated volume ... 300.79 Å³/cell

Entry from the Alexandria database: crystalline K4ZnTc at its relaxed geometry (GGA-PBE).

a = 7.315 Å, b = 7.315 Å, c = 7.315 Å
α = 60.00°, β = 60.00°, γ = 60.00°
Each line ends with the local moment (μB).
Fractional positions:
K (0.375, 0.375, 0.874)  -0.01
K (0.874, 0.375, 0.375)  -0.01
K (0.375, 0.375, 0.375)  -0.01
K (0.375, 0.874, 0.375)  -0.01
Zn (0.000, 0.000, 0.000)  -0.01
Tc (0.750, 0.750, 0.750)  3.35

Values from the calculation:
Raw total energy ... -9.33 eV for the cell shown
Magnetic moment ... 3.54 μB per cell
Formation enthalpy at 0 K ... 1.1166 eV/atom
Calculated volume ... 276.72 Å³/cell

Entry from the Alexandria database: crystalline CuSn3B at its relaxed geometry (GGA-PBE).

a = 5.020 Å, b = 5.020 Å, c = 5.020 Å
α = 90.00°, β = 90.00°, γ = 90.00°
Fractional positions:
B (0.500, 0.500, 0.500)
Sn (0.000, 0.500, 0.000)
Sn (0.500, 0.000, 0.000)
Sn (0.000, 0.000, 0.500)
Cu (0.000, 0.000, 0.000)

Values from the calculation:
E above lowest polymorph ... 34.7 kJ/mol of atoms
Raw total energy ... -17.20 eV for the cell shown
Magnetic moment ... 0.00 μB per cell
Formation enthalpy at 0 K ... 1.1160 eV/atom
Calculated volume ... 126.53 Å³/cell

Entry from the Alexandria database: crystalline Dy4AlZn2Rh at its relaxed geometry (GGA-PBE).

a = 5.009 Å, b = 5.009 Å, c = 8.633 Å
α = 73.14°, β = 73.14°, γ = 60.00°
Fractional positions:
Al (0.000, 0.000, 0.000)
Dy (0.129, 0.129, 0.613)
Dy (0.871, 0.871, 0.387)
Dy (0.381, 0.381, 0.858)
Dy (0.619, 0.619, 0.142)
Rh (0.500, 0.500, 0.500)
Zn (0.257, 0.257, 0.229)
Zn (0.743, 0.743, 0.771)

Values from the calculation:
Raw total energy ... -36.12 eV for the cell shown
Magnetic moment ... 0.00 μB per cell
Formation enthalpy at 0 K ... -0.5087 eV/atom
Calculated volume ... 176.73 Å³/cell

Entry from the Alexandria database: crystalline TlRh2C2 at its relaxed geometry (GGA-PBE).

a = 3.302 Å, b = 3.302 Å, c = 6.999 Å
α = 76.35°, β = 76.35°, γ = 90.00°
Fractional positions:
Tl (0.000, 0.000, 0.000)
C (0.250, 0.750, 0.500)
C (0.750, 0.250, 0.500)
Rh (0.661, 0.661, 0.679)
Rh (0.339, 0.339, 0.321)

Values from the calculation:
E above lowest polymorph ... 0.0 kJ/mol of atoms
Raw total energy ... -31.52 eV for the cell shown
Magnetic moment ... 0.00 μB per cell
Formation enthalpy at 0 K ... 0.7998 eV/atom
Calculated volume ... 71.95 Å³/cell

Entry from the Alexandria database: crystalline Dy5Ir2Au at its relaxed geometry (GGA-PBE).

a = 7.663 Å, b = 7.663 Å, c = 8.602 Å
α = 116.45°, β = 116.45°, γ = 90.00°
Fractional positions:
Ir (0.638, 0.138, 0.000)
Ir (0.862, 0.638, 0.000)
Ir (0.362, 0.862, 0.000)
Ir (0.138, 0.362, 0.000)
Dy (0.025, 0.525, 0.725)
Dy (0.500, 0.500, 0.000)
Dy (0.475, 0.300, 0.275)
Dy (0.975, 0.475, 0.275)
Dy (0.800, 0.975, 0.275)
Dy (0.000, 0.000, 0.000)
Dy (0.525, 0.700, 0.725)
Dy (0.700, 0.200, 0.725)
Dy (0.300, 0.800, 0.275)
Dy (0.200, 0.025, 0.725)
Au (0.250, 0.250, 0.500)
Au (0.750, 0.750, 0.500)

Values from the calculation:
Raw total energy ... -100.49 eV for the cell shown
Magnetic moment ... 0.00 μB per cell
Formation enthalpy at 0 K ... -0.7793 eV/atom
Calculated volume ... 392.29 Å³/cell

Entry from the Alexandria database: crystalline AcHo2In2Hg2 at its relaxed geometry (GGA-PBE).

a = 5.000 Å, b = 5.000 Å, c = 9.748 Å
α = 75.14°, β = 75.14°, γ = 60.00°
Fractional positions:
In (0.260, 0.260, 0.220)
In (0.740, 0.740, 0.780)
Ho (0.135, 0.135, 0.596)
Ho (0.865, 0.865, 0.404)
Hg (0.563, 0.563, 0.310)
Hg (0.437, 0.437, 0.690)
Ac (0.000, 0.000, 0.000)

Values from the calculation:
Raw total energy ... -21.66 eV for the cell shown
Magnetic moment ... 0.00 μB per cell
Formation enthalpy at 0 K ... -0.3304 eV/atom
Calculated volume ... 201.59 Å³/cell